Record 1
The following is a DFT calculation (PBE-GGA) of a relaxed LiAcAgPd crystal.

Cell lengths 4.5200, 4.5200, 15.9392 Å; angles 90.00, 90.00, 120.00 degrees
Space group R3m (No. 160, hexagonal axes)
Asymmetric unit:
Li (0.0000, 0.0000, 0.0000) x3
Ac (0.0000, 0.0000, 0.5094) x3
Ag (0.0000, 0.0000, 0.7129) x3
Pd (0.0000, 0.0000, 0.2950) x3

Output
The density comes out at 7.9 g/cm³. As for the energy relative to the elements: -0.463 eV per atom. The value obtained for the electronic total energy is -3.980 eV/atom. The value obtained for the offset from the most stable computed form is 0 meV/atom. The density of states at the Fermi level is 1.60 states/eV/f.u.

***

Record 2
The following is a DFT calculation (PBE-GGA) of a relaxed NaCd6F12 crystal.

Cell lengths 10.3116, 10.3116, 9.4182 Å; angles 90.00, 90.00, 120.00 degrees
Space group R-3 (No. 148, hexagonal axes)
Asymmetric unit:
Na (0.0000, 0.0000, 0.0000) x3
Cd (0.0500, 0.2590, 0.6552) x18
F (0.0371, 0.2165, 0.3949) x18
F (0.0377, 0.2181, 0.8930) x18

Output
The density comes out at 5.3 g/cm³. The value obtained for the electronic total energy is -3.719 eV/atom. The value obtained for the energy relative to the elements, uncorrected is -2179 meV per atom. The density of states at the Fermi level is 1.38 states/eV/f.u.